No. 1
VASP calculation (PBE) on a relaxed structure of BaBeNbIr.

The structure belongs to space group F-43m (No. 216); the cell edges are 6.690, 6.690 and 6.690 Å and the angles 90.00°, 90.00° and 90.00°. The asymmetric unit holds Ba at (0.000, 0.000, 0.000), Be at (0.250, 0.250, 0.750), Nb at (0.250, 0.250, 0.250) and Ir at (0.000, 0.000, 0.500).

Its calculated density is 9.6 g/cm³. As for the total energy: -5.504 eV per atom. The calculation puts the total magnetization at 0.000 μB/atom.

No. 2
VASP calculation (PBE) on a relaxed structure of PmSnAs.

The structure belongs to space group F-43m (No. 216); the cell edges are 7.026, 7.026 and 7.026 Å and the angles 90.00°, 90.00° and 90.00°. The asymmetric unit holds Pm at (0.000, 0.000, 0.000), Sn at (0.000, 0.000, 0.500) and As at (0.250, 0.250, 0.250).

Its calculated density is 6.5 g/cm³. As for the total energy: -4.957 eV per atom. The calculation puts the total magnetization at 0.000 μB/atom.

No. 3
VASP calculation (PBE) on a relaxed structure of LiNb2Bi.

The structure belongs to space group F-43m (No. 216); the cell edges are 6.712, 6.712 and 6.712 Å and the angles 90.00°, 90.00° and 90.00°. The asymmetric unit holds Li at (0.000, 0.000, 0.000), Nb at (0.000, 0.000, 0.500), Nb at (0.250, 0.250, 0.250) and Bi at (0.250, 0.250, 0.750).

Its calculated density is 8.8 g/cm³. As for the total energy: -6.266 eV per atom. The calculation puts the total magnetization at 0.001 μB/atom.

No. 4
VASP calculation (PBE) on a relaxed structure of BeGa2CuPd4.

The structure belongs to space group P4/mmm (No. 123); the cell edges are 4.068, 4.068 and 6.636 Å and the angles 90.00°, 90.00° and 90.00°. The asymmetric unit holds Be at (0.000, 0.000, 0.000), Ga at (0.000, 0.000, 0.500), Ga at (0.500, 0.500, 0.000), Cu at (0.500, 0.500, 0.500) and Pd at (0.000, 0.500, 0.234).

Its calculated density is 9.6 g/cm³. As for the total energy: -4.801 eV per atom.

No. 5
VASP calculation (PBE) on a relaxed structure of CuNiSbIr.

The structure belongs to space group F-43m (No. 216); the cell edges are 6.166, 6.166 and 6.166 Å and the angles 90.00°, 90.00° and 90.00°. The asymmetric unit holds Cu at (0.000, 0.000, 0.000), Ni at (0.250, 0.250, 0.250), Sb at (0.250, 0.250, 0.750) and Ir at (0.000, 0.000, 0.500).

Its calculated density is 12.4 g/cm³. As for the total energy: -5.470 eV per atom. The calculation puts the total magnetization at 0.001 μB/atom.

No. 6
VASP calculation (PBE) on a relaxed structure of ScBW2.

The structure belongs to space group F-43m (No. 216); the cell edges are 6.171, 6.171 and 6.171 Å and the angles 90.00°, 90.00° and 90.00°. The asymmetric unit holds Sc at (0.000, 0.000, 0.000), B at (0.250, 0.250, 0.750), W at (0.000, 0.000, 0.500) and W at (0.250, 0.250, 0.250).

Its calculated density is 12.0 g/cm³. As for the total energy: -9.299 eV per atom. The calculation puts the total magnetization at 0.000 μB/atom.

No. 7
VASP calculation (PBE) on a relaxed structure of BeGaNiB.

The structure belongs to space group F-43m (No. 216); the cell edges are 5.363, 5.363 and 5.363 Å and the angles 90.00°, 90.00° and 90.00°. The asymmetric unit holds Be at (0.000, 0.000, 0.000), Ga at (0.250, 0.250, 0.250), Ni at (0.250, 0.250, 0.750) and B at (0.000, 0.000, 0.500).

Its calculated density is 6.4 g/cm³. As for the total energy: -4.371 eV per atom. The calculation puts the total magnetization at 0.000 μB/atom.

No. 8
VASP calculation (PBE) on a relaxed structure of Mg3Mo.

The structure belongs to space group Cmcm (No. 63); the cell edges are 5.919, 10.862 and 4.735 Å and the angles 90.00°, 90.00° and 90.00°. The asymmetric unit holds Mg at (0.000, 0.079, 0.250), Mg at (0.241, 0.326, 0.250) and Mo at (0.000, 0.440, 0.750).

Its calculated density is 3.7 g/cm³. As for the total energy: -3.641 eV per atom. The calculation puts the total magnetization at 0.000 μB/atom.

Q: Which formula does entry 8 have?
A: Mg3Mo